Entry 1:
A plane-wave DFT calculation with GGA-PBE was carried out for crystalline Sc2TiAgH at its relaxed geometry.

Values from the calculation:
E_tot = -27.55 eV per cell

```
data_Sc2TiAgH
_chemical_formula_sum 'Sc2 Ti1 Ag1 H1'
_space_group_name_H-M_alt 'P 4/m m m'
_space_group_IT_number 123
_space_group_name_Hall '-P 4 2'
_cell_length_a 4.630
_cell_length_b 4.630
_cell_length_c 3.842
_cell_angle_alpha 90.00
_cell_angle_beta 90.00
_cell_angle_gamma 90.00
loop_
_atom_site_label
_atom_site_type_symbol
_atom_site_fract_x
_atom_site_fract_y
_atom_site_fract_z
Sc1 Sc 0.000 0.500 0.000
Ti1 Ti 0.000 0.000 0.500
Ag1 Ag 0.500 0.500 0.500
H1 H 0.000 0.000 0.000
```

Entry 2:
A plane-wave DFT calculation with GGA-PBE was carried out for crystalline TlGe2AsSe6 at its relaxed geometry.

Values from the calculation:
E_tot = -155.31 eV per cell

```
data_TlGe2AsSe6
_chemical_formula_sum 'Tl4 Ge8 As4 Se24'
_space_group_name_H-M_alt 'C 1 2/c 1'
_space_group_IT_number 15
_cell_length_a 15.439
_cell_length_b 12.100
_cell_length_c 7.312
_cell_angle_alpha 90.00
_cell_angle_beta 117.83
_cell_angle_gamma 90.00
loop_
_space_group_symop_operation_xyz
'x,y,z'
'-x,-y,-z'
'-x,y,-z+1/2'
'x,-y,z+1/2'
'x+1/2,y+1/2,z'
'-x+1/2,-y+1/2,-z'
'-x+1/2,y+1/2,-z+1/2'
'x+1/2,-y+1/2,z+1/2'
loop_
_atom_site_label
_atom_site_type_symbol
_atom_site_fract_x
_atom_site_fract_y
_atom_site_fract_z
Tl1 Tl 0.000 0.152 0.250
Ge1 Ge 0.229 0.389 0.864
As1 As 0.000 0.236 0.750
Se1 Se 0.065 0.360 0.581
Se2 Se 0.167 0.268 0.114
Se3 Se 0.217 0.046 0.414
```

Entry 3:
A plane-wave DFT calculation with GGA-PBE was carried out for crystalline BaCaTc at its relaxed geometry.

Values from the calculation:
ΔE_f = 0.953 eV/atom
E_tot = -45.72 eV per cell
Energy above the most stable polymorph in this dataset = 0.2144 eV per atom

```
data_BaCaTc
_chemical_formula_sum 'Ba4 Ca4 Tc4'
_space_group_name_H-M_alt 'F -4 3 m'
_space_group_IT_number 216
_space_group_name_Hall 'F -4 2 3'
_cell_length_a 7.360
_cell_length_b 7.360
_cell_length_c 7.360
_cell_angle_alpha 90.00
_cell_angle_beta 90.00
_cell_angle_gamma 90.00
loop_
_atom_site_label
_atom_site_type_symbol
_atom_site_fract_x
_atom_site_fract_y
_atom_site_fract_z
Ba1 Ba 0.000 0.000 0.000
Ca1 Ca 0.000 0.000 0.500
Tc1 Tc 0.250 0.250 0.750
```